Material: CsK2NiF8
Method: DFT, PBE with a Hubbard U
State: optimized geometry

Computed properties:
- space-group type = P-1, No. 2
- magnetic moment (μB per formula unit) = 1.07
- E_tot (Ry per atom) = -0.279

Cell and atoms, written as POSCAR:
```
CsK2NiF8
1.0
5.006 0.000 0.000
0.086 5.490 0.000
1.766 0.018 7.767
Cs K Ni F
1 2 1 8
direct
0.000 0.000 0.000
0.371 0.497 0.316
0.629 0.503 0.684
0.000 0.000 0.500
0.150 0.233 0.608
0.154 0.764 0.609
0.293 0.998 0.320
0.302 0.496 0.995
0.698 0.504 0.005
0.707 0.002 0.680
0.846 0.236 0.391
0.850 0.767 0.392
```